Entry 1:
VASP calculation (PBE) on an optimized crystal structure of Ho3Er3Ga4.

a = 4.269 Å, b = 7.618 Å, c = 7.618 Å
α = 89.92°, β = 90.00°, γ = 90.00°
Fractional positions:
Ho1 0.500 0.826 0.174
Ho2 0.500 0.325 0.325
Ho3 0.500 0.675 0.675
Er1 0.000 0.500 0.000
Er2 0.000 0.000 0.500
Er3 0.500 0.175 0.825
Ga1 0.000 0.620 0.380
Ga2 0.000 0.379 0.621
Ga3 0.000 0.880 0.880
Ga4 0.000 0.120 0.120

Results
D(E_F): 11.00 states/eV/cell
Electronic total energy: -4.48 eV/atom
Crystal system: orthorhombic

***

Entry 2:
VASP calculation (PBE) on an optimized crystal structure of HoErGa2.

a = 3.548 Å, b = 3.548 Å, c = 7.097 Å
α = 90.00°, β = 90.00°, γ = 90.00°
Fractional positions:
Ho1 0.500 0.500 0.500
Ga1 0.000 0.000 0.752
Ga2 0.000 0.000 0.248
Er1 0.500 0.500 0.000

Results
D(E_F): 1.66 states/eV/cell
Electronic total energy: -4.38 eV/atom
Crystal system: tetragonal

***

Entry 3:
VASP calculation (PBE) on an optimized crystal structure of HoEr2Ga.

a = 4.687 Å, b = 4.685 Å, c = 4.685 Å
α = 90.00°, β = 90.00°, γ = 90.00°
Fractional positions:
Ho1 0.500 0.500 0.500
Ga1 0.500 0.000 0.000
Er1 0.000 0.000 0.500
Er2 0.000 0.500 0.000

Results
Polymorph energy (0 for the lowest one): 41 meV/atom
D(E_F): 5.32 states/eV/cell
Crystal system: tetragonal

***

Which value of D(E_F) does entry 3 give? 5.32 states/eV/cell